Entry 1:
This record from the Alexandria database describes a relaxed structure of HPbO3. The functional is PBE.

Cell: 3.560 3.560 3.560 Å, 90.00 90.00 90.00°
Element x y z (fractional)
H  0.000  0.000  0.000
Pb  0.500  0.500  0.500
O  0.000  0.000  0.500
O  0.000  0.500  0.000
O  0.500  0.000  0.000

Values from the calculation:
calculated total energy: -4.03 eV/atom

Entry 2:
This record from the Alexandria database describes a relaxed structure of HPbO2. The functional is PBE.

Cell: 5.989 5.989 5.989 Å, 30.29 30.29 30.29°
Element x y z (fractional)
H  0.000  0.000  0.000
Pb  0.500  0.500  0.500
O  0.380  0.380  0.380
O  0.620  0.620  0.620

Values from the calculation:
calculated total energy: -3.51 eV/atom

Entry 3:
This record from the Alexandria database describes a relaxed structure of HPbO2. The functional is PBE.

Cell: 5.657 5.657 5.657 Å, 132.49 132.49 69.46°
Element x y z (fractional)
H  0.000  0.000  0.000
H  0.750  0.250  0.500
Pb  0.250  0.750  0.500
Pb  0.500  0.500  0.000
O  0.036  0.625  0.911
O  0.375  0.286  0.411
O  0.714  0.125  0.089
O  0.875  0.964  0.589

Values from the calculation:
calculated total energy: -4.41 eV/atom

Entry 4:
This record from the Alexandria database describes a relaxed structure of H2PbO2. The functional is PBE.

Cell: 8.096 3.860 9.554 Å, 90.00 90.00 90.00°
Element x y z (fractional)
H  0.017  0.250  0.151
H  0.200  0.750  0.645
H  0.300  0.250  0.145
H  0.483  0.750  0.651
H  0.517  0.250  0.349
H  0.700  0.750  0.855
H  0.800  0.250  0.355
H  0.983  0.750  0.849
Pb  0.199  0.250  0.437
Pb  0.301  0.750  0.937
Pb  0.699  0.250  0.063
Pb  0.801  0.750  0.563
O  0.089  0.750  0.797
O  0.218  0.250  0.066
O  0.282  0.750  0.566
O  0.411  0.250  0.297
O  0.589  0.750  0.703
O  0.718  0.250  0.434
O  0.782  0.750  0.934
O  0.911  0.250  0.203

Values from the calculation:
calculated total energy: -5.06 eV/atom

Entry 5:
This record from the Alexandria database describes a relaxed structure of H2PdPb2O4. The functional is PBE.

Cell: 5.798 6.354 8.137 Å, 89.19 86.35 66.79°
Element x y z (fractional)
H  0.072  0.226  0.261
H  0.390  0.876  0.282
H  0.610  0.124  0.718
H  0.928  0.774  0.739
Pd  0.000  0.500  0.500
Pd  0.500  0.000  0.000
Pb  0.176  0.640  0.104
Pb  0.380  0.772  0.630
Pb  0.620  0.228  0.370
Pb  0.824  0.360  0.896
O  0.075  0.626  0.711
O  0.282  0.967  0.198
O  0.289  0.569  0.385
O  0.475  0.710  0.912
O  0.525  0.290  0.088
O  0.711  0.431  0.615
O  0.718  0.033  0.802
O  0.925  0.374  0.289

Values from the calculation:
calculated total energy: -5.28 eV/atom

Entry 6:
This record from the Alexandria database describes a relaxed structure of HPtPb2O6. The functional is PBE.

Cell: 4.718 5.824 5.855 Å, 114.20 96.58 112.42°
Element x y z (fractional)
H  0.000  0.000  0.000
Pt  0.393  0.919  0.240
Pb  0.153  0.529  0.541
Pb  0.632  0.314  0.912
O  0.179  0.956  0.941
O  0.274  0.526  0.946
O  0.516  0.319  0.518
O  0.587  0.899  0.546
O  0.792  0.115  0.157
O  0.982  0.722  0.293

Values from the calculation:
calculated total energy: -5.44 eV/atom

Entry 7:
This record from the Alexandria database describes a relaxed structure of PuH2PbO6. The functional is PBE.

Cell: 5.209 5.377 5.912 Å, 63.38 68.35 64.98°
Element x y z (fractional)
Pu  0.000  0.000  0.000
H  0.411  0.224  0.246
H  0.589  0.776  0.754
Pb  0.500  0.500  0.500
O  0.089  0.356  0.775
O  0.239  0.927  0.222
O  0.407  0.760  0.757
O  0.593  0.240  0.243
O  0.761  0.073  0.778
O  0.911  0.644  0.225

Values from the calculation:
calculated total energy: -6.95 eV/atom

Entry 8:
This record from the Alexandria database describes a relaxed structure of PuHPb2O6. The functional is PBE.

Cell: 6.253 4.576 13.112 Å, 90.00 118.28 90.00°
Element x y z (fractional)
Pu  0.000  0.000  0.000
Pu  0.000  0.500  0.500
H  0.500  0.000  0.500
H  0.500  0.500  0.000
Pb  0.346  0.002  0.846
Pb  0.346  0.498  0.346
Pb  0.654  0.502  0.654
Pb  0.654  0.998  0.154
O  0.024  0.717  0.384
O  0.024  0.783  0.884
O  0.256  0.711  0.619
O  0.256  0.789  0.119
O  0.379  0.221  0.501
O  0.379  0.279  0.001
O  0.621  0.721  0.999
O  0.621  0.779  0.499
O  0.744  0.211  0.881
O  0.744  0.289  0.381
O  0.976  0.217  0.116
O  0.976  0.283  0.616

Values from the calculation:
calculated total energy: -7.02 eV/atom

Entry 9:
This record from the Alexandria database describes a relaxed structure of ReH2PbO6. The functional is PBE.

Cell: 5.175 5.176 5.807 Å, 64.26 64.64 63.98°
Element x y z (fractional)
Re  0.000  0.000  0.000
H  0.403  0.191  0.232
H  0.694  0.899  0.787
Pb  0.454  0.499  0.507
O  0.001  0.387  0.785
O  0.170  0.970  0.225
O  0.326  0.817  0.777
O  0.571  0.252  0.210
O  0.739  0.078  0.758
O  0.853  0.679  0.209

Values from the calculation:
calculated total energy: -6.44 eV/atom

Entry 10:
This record from the Alexandria database describes a relaxed structure of HRuPb2O6. The functional is PBE.

Cell: 5.975 5.975 5.282 Å, 114.46 114.46 100.55°
Element x y z (fractional)
H  0.000  0.000  0.000
Ru  0.693  0.693  0.316
Pb  0.348  0.943  0.675
Pb  0.943  0.348  0.675
O  0.022  0.022  0.834
O  0.424  0.424  0.886
O  0.504  0.924  0.314
O  0.598  0.598  0.545
O  0.924  0.504  0.314
O  0.945  0.945  0.308

Values from the calculation:
calculated total energy: -5.91 eV/atom

Entry 11:
This record from the Alexandria database describes a relaxed structure of H2RuPbO6. The functional is PBE.

Cell: 5.054 5.337 5.870 Å, 64.57 67.49 61.87°
Element x y z (fractional)
H  0.000  0.000  0.000
H  0.450  0.326  0.644
Ru  0.870  0.601  0.829
Pb  0.398  0.068  0.323
O  0.157  0.492  0.005
O  0.265  0.341  0.611
O  0.539  0.711  0.071
O  0.697  0.570  0.631
O  0.854  0.153  0.085
O  0.905  0.948  0.625

Values from the calculation:
calculated total energy: -5.73 eV/atom

Entry 12:
This record from the Alexandria database describes a relaxed structure of H2RuPbO4. The functional is PBE.

Cell: 5.076 5.076 5.076 Å, 123.66 109.78 96.16°
Element x y z (fractional)
H  0.174  0.174  0.000
H  0.826  0.826  0.000
Ru  0.000  0.500  0.500
Pb  0.500  0.000  0.500
O  0.077  0.959  0.678
O  0.281  0.399  0.322
O  0.719  0.041  0.118
O  0.923  0.601  0.882

Values from the calculation:
calculated total energy: -5.68 eV/atom